VASP calculation (PBE+U) on a geometry-optimized RbAc2MoO5 structure.

Unit cell a=7.363 b=7.363 c=5.981 alpha=90.00 beta=90.00 gamma=90.00
Space group P4/mbm (No. 127)
Unique sites:
Rb 0.000 0.000 0.000 [2 per cell]
Ac 0.182 0.318 0.500 [4 per cell]
Mo 0.000 0.500 0.000 [2 per cell]
O 0.000 0.000 0.500 [2 per cell]
O 0.130 0.630 0.243 [8 per cell]

Results
The total energy comes out at -6.97 eV/atom. The value obtained for the volume is 18.012 A^3/atom.

=====

VASP calculation (PBE+U) on a geometry-optimized RbAc2MoO6 structure.

Unit cell a=5.875 b=6.487 c=11.061 alpha=90.00 beta=122.01 gamma=90.00
Space group P2_1/c (No. 14)
Unique sites:
Rb 0.000 0.000 0.000 [2 per cell]
Ac 0.218 0.003 0.720 [4 per cell]
Mo 0.500 0.000 0.500 [2 per cell]
O 0.207 0.694 0.847 [4 per cell]
O 0.209 0.143 0.498 [4 per cell]
O 0.480 0.183 0.341 [4 per cell]

Results
The total energy comes out at -7.14 eV/atom. The value obtained for the volume is 17.871 A^3/atom.

=====

VASP calculation (PBE+U) on a geometry-optimized AcReMoO6 structure.

Unit cell a=5.7599 b=5.7599 c=8.3587 alpha=90.00 beta=90.00 gamma=120.00
Space group P-31c (No. 163)
Unique sites:
Ac 0.3333 0.6667 0.2500 [2 per cell]
Re 0.3333 0.6667 0.7500 [2 per cell]
Mo 0.0000 0.0000 0.0000 [2 per cell]
O 0.0793 0.3709 0.6182 [12 per cell]

Results
The total energy comes out at -7.93 eV/atom. The value obtained for the volume is 13.342 A^3/atom.

=====

VASP calculation (PBE+U) on a geometry-optimized Ac2ReMoO8 structure.

Unit cell a=5.719 b=5.900 c=6.360 alpha=79.98 beta=80.11 gamma=70.05
Space group P-1 (No. 2)
Unique sites:
Ac 0.169 0.080 0.217 [2 per cell]
Re 0.500 0.500 0.000 [1 per cell]
Mo 0.500 0.500 0.500 [1 per cell]
O 0.169 0.761 0.512 [2 per cell]
O 0.183 0.735 0.006 [2 per cell]
O 0.398 0.337 0.284 [2 per cell]
O 0.410 0.304 0.821 [2 per cell]

Results
The total energy comes out at -7.98 eV/atom. The value obtained for the volume is 16.430 A^3/atom.

=====

VASP calculation (PBE+U) on a geometry-optimized AcMoRhO6 structure.

Unit cell a=5.3275 b=5.3275 c=5.3279 alpha=90.00 beta=90.00 gamma=120.00
Space group P312 (No. 149)
Unique sites:
Ac 0.0000 0.0000 0.0000 [1 per cell]
Mo 0.6667 0.3333 0.5000 [1 per cell]
Rh 0.3333 0.6667 0.5000 [1 per cell]
O 0.3809 0.0140 0.7069 [6 per cell]

Results
The total energy comes out at -7.26 eV/atom. The value obtained for the volume is 14.551 A^3/atom.

=====

VASP calculation (PBE+U) on a geometry-optimized Ac2MoRhO6 structure.

Unit cell a=5.7905 b=5.7905 c=29.4378 alpha=90.00 beta=90.00 gamma=120.00
Space group R-3m (No. 166, hexagonal axes)
Unique sites:
Ac 0.0000 0.0000 0.1222 [6 per cell]
Ac 0.0000 0.0000 0.2766 [6 per cell]
Mo 0.0000 0.0000 0.0000 [3 per cell]
Mo 0.0000 0.0000 0.5000 [3 per cell]
Rh 0.0000 0.0000 0.4149 [6 per cell]
O 0.0120 0.5060 0.8746 [18 per cell]
O 0.0203 0.5102 0.7148 [18 per cell]

Results
The total energy comes out at -7.39 eV/atom. The value obtained for the volume is 14.247 A^3/atom.

=====

VASP calculation (PBE+U) on a geometry-optimized AcMo2RhO8 structure.

Unit cell a=7.146 b=6.794 c=6.618 alpha=90.00 beta=92.84 gamma=90.00
Space group C2/m (No. 12)
Unique sites:
Ac 0.000 0.000 0.000 [2 per cell]
Mo 0.010 0.500 0.260 [4 per cell]
Rh 0.000 0.000 0.500 [2 per cell]
O 0.011 0.222 0.709 [8 per cell]
O 0.168 0.500 0.014 [4 per cell]
O 0.197 0.500 0.497 [4 per cell]

Results
The total energy comes out at -7.18 eV/atom. The value obtained for the volume is 13.372 A^3/atom.

=====

VASP calculation (PBE+U) on a geometry-optimized AcMoSO2 structure.

Unit cell a=4.257 b=4.257 c=5.338 alpha=90.00 beta=90.00 gamma=90.00
Space group P4mm (No. 99)
Unique sites:
Ac 0.000 0.000 0.000 [1 per cell]
Mo 0.500 0.500 0.331 [1 per cell]
S 0.500 0.500 0.803 [1 per cell]
O 0.000 0.500 0.262 [2 per cell]

Results
The total energy comes out at -7.14 eV/atom. The value obtained for the volume is 19.345 A^3/atom.

=====

Question: What is the total energy in the sixth record?
Answer: -7.39 eV/atom

=====

Please write out number 4 again, unchanged.
VASP calculation (PBE+U) on a geometry-optimized Ac2ReMoO8 structure.

Unit cell a=5.719 b=5.900 c=6.360 alpha=79.98 beta=80.11 gamma=70.05
Space group P-1 (No. 2)
Unique sites:
Ac 0.169 0.080 0.217 [2 per cell]
Re 0.500 0.500 0.000 [1 per cell]
Mo 0.500 0.500 0.500 [1 per cell]
O 0.169 0.761 0.512 [2 per cell]
O 0.183 0.735 0.006 [2 per cell]
O 0.398 0.337 0.284 [2 per cell]
O 0.410 0.304 0.821 [2 per cell]

Results
The total energy comes out at -7.98 eV/atom. The value obtained for the volume is 16.430 A^3/atom.

=====

Question: Among the records above, which one has the highest total energy?
Answer: RbAc2MoO5

=====

Question: Among the records above, which one has the lowest total energy?
Answer: Ac2ReMoO8